Entry 1:
# PBE NbCo2B, relaxed
data_NbCo2B
_chemical_formula_sum 'Nb4 Co8 B4'
_cell_length_a 5.674
_cell_length_b 5.674
_cell_length_c 5.674
_cell_angle_alpha 90.00
_cell_angle_beta 90.00
_cell_angle_gamma 90.00
_symmetry_space_group_name_H-M 'F -4 3 m'
_symmetry_Int_Tables_number 216
_symmetry_space_group_name_Hall 'F -4 2 3'
loop_
_atom_site_label
_atom_site_fract_x
_atom_site_fract_y
_atom_site_fract_z
Nb1 0.000 0.000 0.000
Co1 0.000 0.000 0.500
Co2 0.250 0.250 0.750
B1 0.250 0.250 0.250
# - total DFT energy (no corrections) (eV per cell) = -120.4



Entry 2:
# PBE NbCoB, relaxed
data_NbCoB
_chemical_formula_sum 'Nb4 Co4 B4'
_cell_length_a 5.511
_cell_length_b 5.511
_cell_length_c 5.511
_cell_angle_alpha 90.00
_cell_angle_beta 90.00
_cell_angle_gamma 90.00
_symmetry_space_group_name_H-M 'F -4 3 m'
_symmetry_Int_Tables_number 216
_symmetry_space_group_name_Hall 'F -4 2 3'
loop_
_atom_site_label
_atom_site_fract_x
_atom_site_fract_y
_atom_site_fract_z
Nb1 0.000 0.000 0.000
Co1 0.250 0.250 0.750
B1 0.250 0.250 0.250
# - total DFT energy (no corrections) (eV per cell) = -86.7